Compound: LiCa3Si2N5
Source: Alexandria
Functional: GGA-PBEsol
Structure: relaxed

Summary:
E (eV per cell): -613.12
Fermi-level density of states (states/eV/cell): 0.0
Energy relative to the elements, uncorrected (eV per atom): -1.286

Unit cell a=5.1143 b=20.3903 c=10.2972 alpha=90.00 beta=91.36 gamma=90.00
Space group C2/c (No. 15)
Asymmetric unit:
Li1 0.0000 0.1268 0.2500 x4
Li2 0.0000 0.3414 0.7500 x4
Ca1 0.2453 0.0898 0.6438 x8
Ca2 0.2448 0.2858 0.1453 x8
Ca3 0.2486 0.4816 0.6322 x8
Si1 0.1881 0.1965 0.4515 x8
Si2 0.2013 0.3956 0.9612 x8
N1 0.1314 0.3726 0.5783 x8
N2 0.1341 0.1768 0.0895 x8
N3 0.2278 0.2257 0.6171 x8
N4 0.2332 0.0321 0.1224 x8
N5 0.2351 0.4021 0.1307 x8